Mn2NbSb: relaxed, PBE.

The magnetization is 0.000 μB per formula unit. As for the crystal system: tetragonal. The calculation puts the energy relative to the elements, uncorrected at 0.03 eV/atom. The calculated total energy is -8.101 eV/atom.

The structure belongs to space group P4/mmm (No. 123); the cell edges are 4.2989, 4.2989 and 3.1816 Å and the angles 90.00°, 90.00° and 90.00°. The asymmetric unit holds Mn at (0.0000, 0.5000, 0.0000), Nb at (0.0000, 0.0000, 0.5000) and Sb at (0.5000, 0.5000, 0.5000).

ScNiOs2: relaxed, PBE.

The magnetization is 0.000 μB per formula unit. For the energy of formation from the pure elements, the calculation gives 104 meV per atom. As for the crystal system: orthorhombic. The calculated total energy is -8.540 eV/atom.

The structure belongs to space group Pmmm (No. 47); the cell edges are 2.7203, 3.8097 and 5.8399 Å and the angles 90.00°, 90.00° and 90.00°. The asymmetric unit holds Sc at (0.0000, 0.0000, 0.0000), Ni at (0.0000, 0.0000, 0.5000) and Os at (0.5000, 0.5000, 0.2900).

MnTcMo2: relaxed, PBE.

The magnetization is 2.196 μB per formula unit. For the energy of formation from the pure elements, the calculation gives 67 meV per atom. As for the crystal system: orthorhombic. The calculated total energy is -10.233 eV/atom.

The structure belongs to space group Pmmm (No. 47); the cell edges are 3.1489, 4.3077 and 4.3558 Å and the angles 90.00°, 90.00° and 90.00°. The asymmetric unit holds Mn at (0.0000, 0.0000, 0.0000), Tc at (0.5000, 0.0000, 0.5000), Mo at (0.0000, 0.5000, 0.5000) and Mo at (0.5000, 0.5000, 0.0000).